1.
The following is a DFT calculation (GGA-PBE) of SmGa2Pd4 after structural relaxation.

Summary:
**Fermi-level density of states**: 5.85 states/eV/cell
**Calculated formation energy**: -0.741 eV per atom
**Excess energy over the best structure of this formula in the dataset**: 0.014 eV per atom

Cell: 7.8730 7.8730 3.9838 Å, 90.00 90.00 90.00°
Last column: nearest neighbours and their distance in Å.
Space group P4_2/mnm (No. 136)
Asymmetric unit:
Sm 0.0000 0.0000 0.0000 (multiplicity 2)  6 Ga 3.10-3.17, 8 Pd 3.35
Ga 0.2217 0.2217 0.5000 (multiplicity 4)  6 Pd 2.54-2.56
Pd 0.0809 0.6681 0.5000 (multiplicity 8)  3 Ga 2.54-2.56, 1 Pd 2.80

=====

2.
The following is a DFT calculation (GGA-PBE) of SmGaPd4 after structural relaxation.

Summary:
**Fermi-level density of states**: 5.33 states/eV/cell
**Calculated formation energy**: -0.703 eV per atom
**Excess energy over the best structure of this formula in the dataset**: 0.000 eV per atom

Cell: 7.7348 3.9850 6.9864 Å, 90.00 90.00 90.00°
Last column: nearest neighbours and their distance in Å.
Space group Pmma (No. 51)
Asymmetric unit:
Sm 0.2500 0.0000 0.1468 (multiplicity 2)  8 Pd 2.93-3.14, 1 Ga 3.00
Ga 0.2500 0.0000 0.7173 (multiplicity 2)  8 Pd 2.46-2.71
Pd 0.0000 0.0000 0.5000 (multiplicity 2)  2 Ga 2.46
Pd 0.0513 0.5000 0.8055 (multiplicity 4)  2 Ga 2.59, 2 Pd 2.83-2.90
Pd 0.2500 0.5000 0.4536 (multiplicity 2)  2 Ga 2.71, 8 Pd 2.80-2.95, 2 Sm 2.93

=====

3.
The following is a DFT calculation (GGA-PBE) of Sm6GaPd2 after structural relaxation.

Summary:
**Fermi-level density of states**: 35.85 states/eV/cell
**Calculated formation energy**: -0.489 eV per atom

Cell: 9.5448 9.9646 10.4887 Å, 90.00 90.00 90.00°
Last column: nearest neighbours and their distance in Å.
Space group Immm (No. 71)
Asymmetric unit:
Sm 0.0000 0.1912 0.2393 (multiplicity 8)  1 Pd 2.94, 1 Ga 3.15
Sm 0.2010 0.5000 0.1711 (multiplicity 8)  3 Pd 2.82-3.05
Sm 0.2162 0.3214 0.5000 (multiplicity 8)  3 Pd 3.06-3.17, 1 Ga 3.24
Ga 0.0000 0.0000 0.0000 (multiplicity 2)  8 Sm 3.15-3.24, 2 Pd 3.44
Ga 0.0000 0.0000 0.5000 (multiplicity 2)  8 Sm 3.33-3.37
Pd 0.0000 0.3448 0.0000 (multiplicity 4)  8 Sm 2.94-3.17, 1 Pd 3.09
Pd 0.0000 0.5000 0.3681 (multiplicity 4)  1 Pd 2.77, 6 Sm 2.82-3.06

=====

4.
The following is a DFT calculation (GGA-PBE) of SmGaPd after structural relaxation.

Summary:
**Fermi-level density of states**: 39.28 states/eV/cell
**Calculated formation energy**: -0.580 eV per atom

Cell: 7.8592 11.0242 12.3880 Å, 90.00 90.00 90.00°
Last column: nearest neighbours and their distance in Å.
Space group Fddd (No. 70, origin choice 2)
Asymmetric unit:
Sm 0.0000 0.0000 0.0000 (multiplicity 16)  4 Ga 3.15-3.28, 4 Pd 3.16-3.33, 2 Sm 3.38
Ga 0.1250 0.1250 0.4644 (multiplicity 16)  4 Pd 2.53-2.55
Pd 0.1250 0.2662 0.6250 (multiplicity 16)  4 Ga 2.53-2.55

=====

5.
The following is a DFT calculation (GGA-PBE) of Sm8Ga2Pd after structural relaxation.

Summary:
**Fermi-level density of states**: 21.97 states/eV/cell
**Calculated formation energy**: -0.336 eV per atom

Cell: 18.7483 5.0373 6.7782 Å, 90.00 101.66 90.00°
Last column: nearest neighbours and their distance in Å.
Space group C2/m (No. 12)
Asymmetric unit:
Sm 0.0234 0.0000 0.2741 (multiplicity 4)  2 Pd 3.03, 1 Ga 3.11, 1 Sm 3.35
Sm 0.0923 0.5000 0.9636 (multiplicity 4)  1 Pd 3.27, 6 Sm 3.45-3.60, 2 Ga 3.47
Sm 0.1550 0.5000 0.4790 (multiplicity 4)  1 Pd 2.94, 3 Ga 3.06-3.12
Sm 0.2085 0.0000 0.8159 (multiplicity 4)  3 Ga 3.09-3.27, 2 Sm 3.41
Ga 0.1881 0.0000 0.2565 (multiplicity 4)  7 Sm 3.06-3.27
Pd 0.0000 0.5000 0.5000 (multiplicity 2)  8 Sm 2.94-3.27

=====

6.
The following is a DFT calculation (GGA-PBE) of Sm3Ga2Pd3 after structural relaxation.

Summary:
**Fermi-level density of states**: 22.77 states/eV/cell
**Calculated formation energy**: -0.814 eV per atom
**Excess energy over the best structure of this formula in the dataset**: 0.015 eV per atom

Cell: 4.4261 10.7825 14.5680 Å, 90.00 90.00 90.00°
Last column: nearest neighbours and their distance in Å.
Space group Cmcm (No. 63)
Asymmetric unit:
Sm 0.0000 0.0819 0.1049 (multiplicity 8)  7 Pd 3.11-3.37, 4 Ga 3.13-3.25
Sm 0.0000 0.3669 0.2500 (multiplicity 4)  5 Pd 3.02-3.15, 4 Ga 3.27
Ga 0.0000 0.2134 0.5958 (multiplicity 8)  4 Pd 2.56-2.72
Pd 0.0000 0.3407 0.7500 (multiplicity 4)  2 Ga 2.63
Pd 0.0000 0.3830 0.0428 (multiplicity 8)  3 Ga 2.56-2.72, 1 Pd 2.81

=====

7.
The following is a DFT calculation (GGA-PBE) of SmGa4Pd6 after structural relaxation.

Summary:
**Fermi-level density of states**: 5.27 states/eV/cell
**Calculated formation energy**: -0.760 eV per atom

Cell: 7.3670 7.3670 3.9328 Å, 90.00 90.00 120.00°
Last column: nearest neighbours and their distance in Å.
Space group P-6m2 (No. 187)
Asymmetric unit:
Sm 0.0000 0.0000 0.0000 (multiplicity 1)  6 Pd 3.20, 6 Ga 3.21
Ga 0.3333 0.6667 0.0000 (multiplicity 1)  9 Pd 2.56-2.61
Ga 0.3984 0.1992 0.5000 (multiplicity 3)  6 Pd 2.54-2.60
Pd 0.1983 0.3967 0.5000 (multiplicity 3)  4 Ga 2.54-2.61
Pd 0.5337 0.0675 0.0000 (multiplicity 3)  5 Ga 2.56-2.60

=====

8.
The following is a DFT calculation (GGA-PBE) of Sm2Ga3Pd2 after structural relaxation.

Summary:
**Fermi-level density of states**: 7.81 states/eV/cell
**Calculated formation energy**: -0.762 eV per atom

Cell: 10.2276 4.4346 6.7398 Å, 90.00 114.06 90.00°
Last column: nearest neighbours and their distance in Å.
Space group C2/m (No. 12)
Asymmetric unit:
Sm 0.1515 0.0000 0.2727 (multiplicity 4)  4 Pd 2.95-3.10, 4 Ga 3.07-3.26
Ga 0.0000 0.5000 0.5000 (multiplicity 2)  2 Ga 2.70, 4 Pd 2.72
Ga 0.1135 0.5000 0.9379 (multiplicity 4)  3 Pd 2.65-2.71, 2 Ga 2.70-2.77
Pd 0.1353 0.0000 0.7224 (multiplicity 4)  5 Ga 2.65-2.72, 1 Sm 2.95

=====

Copy entry 4 word for word.
The following is a DFT calculation (GGA-PBE) of SmGaPd after structural relaxation.

Summary:
**Fermi-level density of states**: 39.28 states/eV/cell
**Calculated formation energy**: -0.580 eV per atom

Cell: 7.8592 11.0242 12.3880 Å, 90.00 90.00 90.00°
Last column: nearest neighbours and their distance in Å.
Space group Fddd (No. 70, origin choice 2)
Asymmetric unit:
Sm 0.0000 0.0000 0.0000 (multiplicity 16)  4 Ga 3.15-3.28, 4 Pd 3.16-3.33, 2 Sm 3.38
Ga 0.1250 0.1250 0.4644 (multiplicity 16)  4 Pd 2.53-2.55
Pd 0.1250 0.2662 0.6250 (multiplicity 16)  4 Ga 2.53-2.55

=====

Number 3 is which compound?
Sm6GaPd2

=====

Which value of Fermi-level density of states does entry 8 give?
7.81 states/eV/cell

=====

Copy entry 2 word for word.
The following is a DFT calculation (GGA-PBE) of SmGaPd4 after structural relaxation.

Summary:
**Fermi-level density of states**: 5.33 states/eV/cell
**Calculated formation energy**: -0.703 eV per atom
**Excess energy over the best structure of this formula in the dataset**: 0.000 eV per atom

Cell: 7.7348 3.9850 6.9864 Å, 90.00 90.00 90.00°
Last column: nearest neighbours and their distance in Å.
Space group Pmma (No. 51)
Asymmetric unit:
Sm 0.2500 0.0000 0.1468 (multiplicity 2)  8 Pd 2.93-3.14, 1 Ga 3.00
Ga 0.2500 0.0000 0.7173 (multiplicity 2)  8 Pd 2.46-2.71
Pd 0.0000 0.0000 0.5000 (multiplicity 2)  2 Ga 2.46
Pd 0.0513 0.5000 0.8055 (multiplicity 4)  2 Ga 2.59, 2 Pd 2.83-2.90
Pd 0.2500 0.5000 0.4536 (multiplicity 2)  2 Ga 2.71, 8 Pd 2.80-2.95, 2 Sm 2.93